a | Below is a relaxed structure of Hf3TcPt, with properties calculated at the PBE level.

Geometry as CIF:
```
data_Hf3TcPt
_chemical_formula_sum 'Hf3 Tc1 Pt1'
_space_group_name_H-M_alt 'P m -3 m'
_space_group_IT_number 221
_space_group_name_Hall '-P 4 2 3'
_cell_length_a 4.964
_cell_length_b 4.964
_cell_length_c 4.964
_cell_angle_alpha 90.00
_cell_angle_beta 90.00
_cell_angle_gamma 90.00
loop_
_atom_site_label
_atom_site_type_symbol
_atom_site_fract_x
_atom_site_fract_y
_atom_site_fract_z
Hf1 Hf 0.000 0.000 0.500
Tc1 Tc 0.500 0.500 0.500
Pt1 Pt 0.000 0.000 0.000
```

b | Below is a relaxed structure of Hf3TcPt, with properties calculated at the PBE level.

Geometry as CIF:
```
data_Hf3TcPt
_chemical_formula_sum 'Hf3 Tc1 Pt1'
_space_group_name_H-M_alt 'P m -3 m'
_space_group_IT_number 221
_space_group_name_Hall '-P 4 2 3'
_cell_length_a 4.897
_cell_length_b 4.897
_cell_length_c 4.897
_cell_angle_alpha 90.00
_cell_angle_beta 90.00
_cell_angle_gamma 90.00
loop_
_atom_site_label
_atom_site_type_symbol
_atom_site_fract_x
_atom_site_fract_y
_atom_site_fract_z
Hf1 Hf 0.000 0.000 0.500
Tc1 Tc 0.000 0.000 0.000
Pt1 Pt 0.500 0.500 0.500
```

The least stable of them is a.

a | Below is a relaxed structure of HfTc3Pt, with properties calculated at the PBE level.

Geometry as CIF:
```
data_HfTc3Pt
_chemical_formula_sum 'Hf1 Tc3 Pt1'
_space_group_name_H-M_alt 'P m -3 m'
_space_group_IT_number 221
_space_group_name_Hall '-P 4 2 3'
_cell_length_a 4.708
_cell_length_b 4.708
_cell_length_c 4.708
_cell_angle_alpha 90.00
_cell_angle_beta 90.00
_cell_angle_gamma 90.00
loop_
_atom_site_label
_atom_site_type_symbol
_atom_site_fract_x
_atom_site_fract_y
_atom_site_fract_z
Hf1 Hf 0.000 0.000 0.000
Tc1 Tc 0.000 0.500 0.500
Pt1 Pt 0.500 0.500 0.500
```

b | Below is a relaxed structure of HfTc3Pt, with properties calculated at the PBE level.

Geometry as CIF:
```
data_HfTc3Pt
_chemical_formula_sum 'Hf1 Tc3 Pt1'
_space_group_name_H-M_alt 'P m -3 m'
_space_group_IT_number 221
_space_group_name_Hall '-P 4 2 3'
_cell_length_a 4.648
_cell_length_b 4.648
_cell_length_c 4.648
_cell_angle_alpha 90.00
_cell_angle_beta 90.00
_cell_angle_gamma 90.00
loop_
_atom_site_label
_atom_site_type_symbol
_atom_site_fract_x
_atom_site_fract_y
_atom_site_fract_z
Hf1 Hf 0.000 0.000 0.000
Tc1 Tc 0.000 0.000 0.500
Pt1 Pt 0.500 0.500 0.500
```

The least stable of them is b.

a | Below is a relaxed structure of HfTe2Pt, with properties calculated at the PBE level.

Geometry as CIF:
```
data_HfTe2Pt
_chemical_formula_sum 'Hf4 Te8 Pt4'
_space_group_name_H-M_alt 'I -4 2 d'
_space_group_IT_number 122
_space_group_name_Hall 'I -4 2bw'
_cell_length_a 6.219
_cell_length_b 6.219
_cell_length_c 12.727
_cell_angle_alpha 90.00
_cell_angle_beta 90.00
_cell_angle_gamma 90.00
loop_
_atom_site_label
_atom_site_type_symbol
_atom_site_fract_x
_atom_site_fract_y
_atom_site_fract_z
Hf1 Hf 0.000 0.000 0.000
Te1 Te 0.232 0.250 0.625
Pt1 Pt 0.000 0.000 0.500
```

b | Below is a relaxed structure of HfTe2Pt, with properties calculated at the PBE level.

Geometry as CIF:
```
data_HfTe2Pt
_chemical_formula_sum 'Hf4 Te8 Pt4'
_space_group_name_H-M_alt 'F m -3 m'
_space_group_IT_number 225
_space_group_name_Hall '-F 4 2 3'
_cell_length_a 7.043
_cell_length_b 7.043
_cell_length_c 7.043
_cell_angle_alpha 90.00
_cell_angle_beta 90.00
_cell_angle_gamma 90.00
loop_
_atom_site_label
_atom_site_type_symbol
_atom_site_fract_x
_atom_site_fract_y
_atom_site_fract_z
Hf1 Hf 0.000 0.000 0.000
Te1 Te 0.250 0.250 0.250
Pt1 Pt 0.000 0.000 0.500
```

The least stable of them is b.

a | Below is a relaxed structure of Hf2TePt2, with properties calculated at the PBE level.

Geometry as CIF:
```
data_Hf2TePt2
_chemical_formula_sum 'Hf4 Te2 Pt4'
_space_group_name_H-M_alt 'P 4/m b m'
_space_group_IT_number 127
_space_group_name_Hall '-P 4 2ab'
_cell_length_a 7.561
_cell_length_b 7.561
_cell_length_c 3.530
_cell_angle_alpha 90.00
_cell_angle_beta 90.00
_cell_angle_gamma 90.00
loop_
_atom_site_label
_atom_site_type_symbol
_atom_site_fract_x
_atom_site_fract_y
_atom_site_fract_z
Hf1 Hf 0.160 0.340 0.000
Te1 Te 0.000 0.000 0.500
Pt1 Pt 0.130 0.630 0.500
```

b | Below is a relaxed structure of Hf2TePt2, with properties calculated at the PBE level.

Geometry as CIF:
```
data_Hf2TePt2
_chemical_formula_sum 'Hf4 Te2 Pt4'
_space_group_name_H-M_alt 'P 4/m b m'
_space_group_IT_number 127
_space_group_name_Hall '-P 4 2ab'
_cell_length_a 7.792
_cell_length_b 7.792
_cell_length_c 3.368
_cell_angle_alpha 90.00
_cell_angle_beta 90.00
_cell_angle_gamma 90.00
loop_
_atom_site_label
_atom_site_type_symbol
_atom_site_fract_x
_atom_site_fract_y
_atom_site_fract_z
Hf1 Hf 0.158 0.342 0.000
Te1 Te 0.000 0.000 0.000
Pt1 Pt 0.131 0.631 0.500
```

The least stable of them is b.

a | Below is a relaxed structure of HfTe3Pt, with properties calculated at the PBE level.

Geometry as CIF:
```
data_HfTe3Pt
_chemical_formula_sum 'Hf1 Te3 Pt1'
_space_group_name_H-M_alt 'P m -3 m'
_space_group_IT_number 221
_space_group_name_Hall '-P 4 2 3'
_cell_length_a 5.228
_cell_length_b 5.228
_cell_length_c 5.228
_cell_angle_alpha 90.00
_cell_angle_beta 90.00
_cell_angle_gamma 90.00
loop_
_atom_site_label
_atom_site_type_symbol
_atom_site_fract_x
_atom_site_fract_y
_atom_site_fract_z
Hf1 Hf 0.000 0.000 0.000
Te1 Te 0.000 0.500 0.500
Pt1 Pt 0.500 0.500 0.500
```

b | Below is a relaxed structure of HfTe3Pt, with properties calculated at the PBE level.

Geometry as CIF:
```
data_HfTe3Pt
_chemical_formula_sum 'Hf1 Te3 Pt1'
_space_group_name_H-M_alt 'P m -3 m'
_space_group_IT_number 221
_space_group_name_Hall '-P 4 2 3'
_cell_length_a 5.450
_cell_length_b 5.450
_cell_length_c 5.450
_cell_angle_alpha 90.00
_cell_angle_beta 90.00
_cell_angle_gamma 90.00
loop_
_atom_site_label
_atom_site_type_symbol
_atom_site_fract_x
_atom_site_fract_y
_atom_site_fract_z
Hf1 Hf 0.000 0.000 0.000
Te1 Te 0.000 0.000 0.500
Pt1 Pt 0.500 0.500 0.500
```

The least stable of them is b.

a | Below is a relaxed structure of HfTi3Pt, with properties calculated at the PBE level.

Geometry as CIF:
```
data_HfTi3Pt
_chemical_formula_sum 'Hf1 Ti3 Pt1'
_space_group_name_H-M_alt 'P m -3 m'
_space_group_IT_number 221
_space_group_name_Hall '-P 4 2 3'
_cell_length_a 4.717
_cell_length_b 4.717
_cell_length_c 4.717
_cell_angle_alpha 90.00
_cell_angle_beta 90.00
_cell_angle_gamma 90.00
loop_
_atom_site_label
_atom_site_type_symbol
_atom_site_fract_x
_atom_site_fract_y
_atom_site_fract_z
Hf1 Hf 0.000 0.000 0.000
Ti1 Ti 0.000 0.000 0.500
Pt1 Pt 0.500 0.500 0.500
```

b | Below is a relaxed structure of HfTi3Pt, with properties calculated at the PBE level.

Geometry as CIF:
```
data_HfTi3Pt
_chemical_formula_sum 'Hf4 Ti12 Pt4'
_space_group_name_H-M_alt 'C m c m'
_space_group_IT_number 63
_space_group_name_Hall '-C 2c 2'
_cell_length_a 5.497
_cell_length_b 12.546
_cell_length_c 5.305
_cell_angle_alpha 90.00
_cell_angle_beta 90.00
_cell_angle_gamma 90.00
loop_
_atom_site_label
_atom_site_type_symbol
_atom_site_fract_x
_atom_site_fract_y
_atom_site_fract_z
Hf1 Hf 0.000 0.080 0.250
Ti1 Ti 0.000 0.324 0.750
Ti2 Ti 0.245 0.343 0.250
Pt1 Pt 0.000 0.500 0.000
```

c | Below is a relaxed structure of HfTi3Pt, with properties calculated at the PBE level.

Geometry as CIF:
```
data_HfTi3Pt
_chemical_formula_sum 'Hf1 Ti3 Pt1'
_space_group_name_H-M_alt 'P m -3 m'
_space_group_IT_number 221
_space_group_name_Hall '-P 4 2 3'
_cell_length_a 4.784
_cell_length_b 4.784
_cell_length_c 4.784
_cell_angle_alpha 90.00
_cell_angle_beta 90.00
_cell_angle_gamma 90.00
loop_
_atom_site_label
_atom_site_type_symbol
_atom_site_fract_x
_atom_site_fract_y
_atom_site_fract_z
Hf1 Hf 0.000 0.000 0.000
Ti1 Ti 0.000 0.500 0.500
Pt1 Pt 0.500 0.500 0.500
```

The least stable of them is a.

a | Below is a relaxed structure of HfTi2Pt2, with properties calculated at the PBE level.

Geometry as CIF:
```
data_HfTi2Pt2
_chemical_formula_sum 'Hf2 Ti4 Pt4'
_space_group_name_H-M_alt 'P 4/m b m'
_space_group_IT_number 127
_space_group_name_Hall '-P 4 2ab'
_cell_length_a 7.425
_cell_length_b 7.425
_cell_length_c 3.176
_cell_angle_alpha 90.00
_cell_angle_beta 90.00
_cell_angle_gamma 90.00
loop_
_atom_site_label
_atom_site_type_symbol
_atom_site_fract_x
_atom_site_fract_y
_atom_site_fract_z
Hf1 Hf 0.000 0.000 0.000
Ti1 Ti 0.167 0.333 0.500
Pt1 Pt 0.132 0.632 0.000
```

b | Below is a relaxed structure of HfTi2Pt2, with properties calculated at the PBE level.

Geometry as CIF:
```
data_HfTi2Pt2
_chemical_formula_sum 'Hf2 Ti4 Pt4'
_space_group_name_H-M_alt 'I 4/m m m'
_space_group_IT_number 139
_space_group_name_Hall '-I 4 2'
_cell_length_a 4.186
_cell_length_b 4.186
_cell_length_c 10.725
_cell_angle_alpha 90.00
_cell_angle_beta 90.00
_cell_angle_gamma 90.00
loop_
_atom_site_label
_atom_site_type_symbol
_atom_site_fract_x
_atom_site_fract_y
_atom_site_fract_z
Hf1 Hf 0.000 0.000 0.000
Ti1 Ti 0.000 0.500 0.250
Pt1 Pt 0.000 0.000 0.381
```

The least stable of them is b.

a | Below is a relaxed structure of HfTiPt4, with properties calculated at the PBE level.

Geometry as CIF:
```
data_HfTiPt4
_chemical_formula_sum 'Hf2 Ti2 Pt8'
_space_group_name_H-M_alt 'P 1 21/c 1'
_space_group_IT_number 14
_space_group_name_Hall '-P 2ybc'
_cell_length_a 5.802
_cell_length_b 7.554
_cell_length_c 4.915
_cell_angle_alpha 90.00
_cell_angle_beta 110.77
_cell_angle_gamma 90.00
loop_
_atom_site_label
_atom_site_type_symbol
_atom_site_fract_x
_atom_site_fract_y
_atom_site_fract_z
Hf1 Hf 0.000 0.000 0.000
Ti1 Ti 0.500 0.000 0.000
Pt1 Pt 0.152 0.154 0.567
Pt2 Pt 0.364 0.661 0.953
```

b | Below is a relaxed structure of HfTiPt4, with properties calculated at the PBE level.

Geometry as CIF:
```
data_HfTiPt4
_chemical_formula_sum 'Hf2 Ti2 Pt8'
_space_group_name_H-M_alt 'C 1 2/m 1'
_space_group_IT_number 12
_space_group_name_Hall '-C 2y'
_cell_length_a 9.220
_cell_length_b 3.789
_cell_length_c 5.932
_cell_angle_alpha 90.00
_cell_angle_beta 108.57
_cell_angle_gamma 90.00
loop_
_atom_site_label
_atom_site_type_symbol
_atom_site_fract_x
_atom_site_fract_y
_atom_site_fract_z
Hf1 Hf 0.000 0.000 0.000
Ti1 Ti 0.000 0.000 0.500
Pt1 Pt 0.160 0.500 0.339
Pt2 Pt 0.163 0.500 0.823
```

The least stable of them is a.

a | Below is a relaxed structure of Hf3TiPt, with properties calculated at the PBE level.

Geometry as CIF:
```
data_Hf3TiPt
_chemical_formula_sum 'Hf3 Ti1 Pt1'
_space_group_name_H-M_alt 'P m -3 m'
_space_group_IT_number 221
_space_group_name_Hall '-P 4 2 3'
_cell_length_a 5.025
_cell_length_b 5.025
_cell_length_c 5.025
_cell_angle_alpha 90.00
_cell_angle_beta 90.00
_cell_angle_gamma 90.00
loop_
_atom_site_label
_atom_site_type_symbol
_atom_site_fract_x
_atom_site_fract_y
_atom_site_fract_z
Hf1 Hf 0.000 0.000 0.500
Ti1 Ti 0.500 0.500 0.500
Pt1 Pt 0.000 0.000 0.000
```

b | Below is a relaxed structure of Hf3TiPt, with properties calculated at the PBE level.

Geometry as CIF:
```
data_Hf3TiPt
_chemical_formula_sum 'Hf3 Ti1 Pt1'
_space_group_name_H-M_alt 'P m -3 m'
_space_group_IT_number 221
_space_group_name_Hall '-P 4 2 3'
_cell_length_a 4.790
_cell_length_b 4.790
_cell_length_c 4.790
_cell_angle_alpha 90.00
_cell_angle_beta 90.00
_cell_angle_gamma 90.00
loop_
_atom_site_label
_atom_site_type_symbol
_atom_site_fract_x
_atom_site_fract_y
_atom_site_fract_z
Hf1 Hf 0.000 0.000 0.500
Ti1 Ti 0.000 0.000 0.000
Pt1 Pt 0.500 0.500 0.500
```

The least stable of them is b.

a | Below is a relaxed structure of Hf2TiPt, with properties calculated at the PBE level.

Geometry as CIF:
```
data_Hf2TiPt
_chemical_formula_sum 'Hf2 Ti1 Pt1'
_space_group_name_H-M_alt 'P 4/m m m'
_space_group_IT_number 123
_space_group_name_Hall '-P 4 2'
_cell_length_a 4.615
_cell_length_b 4.615
_cell_length_c 3.499
_cell_angle_alpha 90.00
_cell_angle_beta 90.00
_cell_angle_gamma 90.00
loop_
_atom_site_label
_atom_site_type_symbol
_atom_site_fract_x
_atom_site_fract_y
_atom_site_fract_z
Hf1 Hf 0.000 0.500 0.000
Ti1 Ti 0.000 0.000 0.500
Pt1 Pt 0.500 0.500 0.500
```

b | Below is a relaxed structure of Hf2TiPt, with properties calculated at the PBE level.

Geometry as CIF:
```
data_Hf2TiPt
_chemical_formula_sum 'Hf8 Ti4 Pt4'
_space_group_name_H-M_alt 'I -4 2 d'
_space_group_IT_number 122
_space_group_name_Hall 'I -4 2bw'
_cell_length_a 7.607
_cell_length_b 7.607
_cell_length_c 5.699
_cell_angle_alpha 90.00
_cell_angle_beta 90.00
_cell_angle_gamma 90.00
loop_
_atom_site_label
_atom_site_type_symbol
_atom_site_fract_x
_atom_site_fract_y
_atom_site_fract_z
Hf1 Hf 0.217 0.750 0.125
Ti1 Ti 0.000 0.000 0.500
Pt1 Pt 0.000 0.000 0.000
```

The least stable of them is b.

a | Below is a relaxed structure of HfTl2Pt, with properties calculated at the PBE level.

Geometry as CIF:
```
data_HfTl2Pt
_chemical_formula_sum 'Hf4 Tl8 Pt4'
_space_group_name_H-M_alt 'I -4 2 d'
_space_group_IT_number 122
_space_group_name_Hall 'I -4 2bw'
_cell_length_a 7.918
_cell_length_b 7.918
_cell_length_c 5.860
_cell_angle_alpha 90.00
_cell_angle_beta 90.00
_cell_angle_gamma 90.00
loop_
_atom_site_label
_atom_site_type_symbol
_atom_site_fract_x
_atom_site_fract_y
_atom_site_fract_z
Hf1 Hf 0.000 0.000 0.000
Tl1 Tl 0.226 0.250 0.625
Pt1 Pt 0.000 0.000 0.500
```

b | Below is a relaxed structure of HfTl2Pt, with properties calculated at the PBE level.

Geometry as CIF:
```
data_HfTl2Pt
_chemical_formula_sum 'Hf4 Tl8 Pt4'
_space_group_name_H-M_alt 'F m -3 m'
_space_group_IT_number 225
_space_group_name_Hall '-F 4 2 3'
_cell_length_a 6.953
_cell_length_b 6.953
_cell_length_c 6.953
_cell_angle_alpha 90.00
_cell_angle_beta 90.00
_cell_angle_gamma 90.00
loop_
_atom_site_label
_atom_site_type_symbol
_atom_site_fract_x
_atom_site_fract_y
_atom_site_fract_z
Hf1 Hf 0.000 0.000 0.000
Tl1 Tl 0.250 0.250 0.250
Pt1 Pt 0.000 0.000 0.500
```

The least stable of them is b.

a | Below is a relaxed structure of HfUPt2, with properties calculated at the PBE level.

Geometry as CIF:
```
data_HfUPt2
_chemical_formula_sum 'Hf1 U1 Pt2'
_space_group_name_H-M_alt 'P 4/m m m'
_space_group_IT_number 123
_space_group_name_Hall '-P 4 2'
_cell_length_a 3.271
_cell_length_b 3.271
_cell_length_c 7.363
_cell_angle_alpha 90.00
_cell_angle_beta 90.00
_cell_angle_gamma 90.00
loop_
_atom_site_label
_atom_site_type_symbol
_atom_site_fract_x
_atom_site_fract_y
_atom_site_fract_z
Hf1 Hf 0.000 0.000 0.000
U1 U 0.000 0.000 0.500
Pt1 Pt 0.500 0.500 0.217
```

b | Below is a relaxed structure of HfUPt2, with properties calculated at the PBE level.

Geometry as CIF:
```
data_HfUPt2
_chemical_formula_sum 'Hf3 U3 Pt6'
_space_group_name_H-M_alt 'R -3 m'
_space_group_IT_number 166
_space_group_name_Hall '-R 3 2"'
_cell_length_a 4.1286
_cell_length_b 4.1286
_cell_length_c 17.6772
_cell_angle_alpha 90.00
_cell_angle_beta 90.00
_cell_angle_gamma 120.00
loop_
_atom_site_label
_atom_site_type_symbol
_atom_site_fract_x
_atom_site_fract_y
_atom_site_fract_z
Hf1 Hf 0.0000 0.0000 0.0000
U1 U 0.0000 0.0000 0.5000
Pt1 Pt 0.0000 0.0000 0.2578
```

The least stable of them is b.